RbScC3 | Alexandria via LeMat-Bulk | GGA-PBEsol | relaxed; mass density = 3.556 g/cm³; energy = -3.776 eV per atom; Fermi-level density of states = 3.9 states/eV/cell; ΔE_f = 3.536 eV per atom
1.0
4.268 0.000 0.000
0.000 4.268 0.000
0.000 0.000 4.268
Sc C Rb
1 3 1
Direct
0.500 0.500 0.500
0.000 0.500 0.000
0.000 0.000 0.500
0.500 0.000 0.000
0.000 0.000 0.000